Entry 1:
# V3AsH2

Crystalline V3AsH2 at its relaxed geometry (PBE, the Alexandria database).

Results
space-group type	P2_1/m
calculated total energy	-6.65	eV per atom
Fermi-level density of states	7.4	states/eV/cell

Structure (POSCAR):
```
V3AsH2
1.0
3.002 0.000 0.000
0.000 4.786 0.443
0.000 -1.429 8.559
V H As
6 4 2
Direct
0.750 0.610 0.881
0.750 0.966 0.149
0.250 0.034 0.851
0.250 0.390 0.119
0.750 0.757 0.578
0.250 0.243 0.422
0.750 0.287 0.271
0.250 0.713 0.729
0.750 0.595 0.083
0.250 0.405 0.917
0.250 0.734 0.346
0.750 0.266 0.654
```

***

Entry 2:
# BaMn2V4

Crystalline BaMn2V4 at its relaxed geometry (PBE, the Alexandria database).

Results
ΔH_f (0 K)	1.828	eV per atom
space-group type	I4/mmm
calculated total energy	-6.28	eV per atom
Fermi-level density of states	8.4	states/eV/cell

Structure (POSCAR):
```
BaMn2V4
1.0
5.012 0.000 0.000
0.000 5.012 0.000
2.506 2.506 5.978
V Ba Mn
4 1 2
Direct
0.244 0.244 0.511
0.500 0.000 0.000
0.756 0.756 0.489
0.000 0.500 0.000
0.000 0.000 0.000
0.402 0.402 0.196
0.598 0.598 0.804
```